{"formula": "CaBe2SiMo", "functional": "PBE", "state": "relaxed", "total_magnetization_mub_per_cell": 0.0, "raw_formation_energy_ev_per_atom": 0.616, "lattice_angstrom": [[4.307, 0.000, 0.000], [0.000, 4.307, 0.000], [0.000, 0.000, 4.664]], "species": ["Ca", "Be", "Be", "Si", "Mo"], "frac_coords": [[0.000, 0.000, 0.000], [0.000, 0.500, 0.500], [0.500, 0.000, 0.500], [0.500, 0.500, 0.500], [0.500, 0.500, 0.000]]}